Run P
# CoTcSbI2 (PBE, relaxed)
data_CoTcSbI2
_cell_length_a 5.291
_cell_length_b 5.291
_cell_length_c 4.867
_cell_angle_alpha 90.00
_cell_angle_beta 90.00
_cell_angle_gamma 90.00
_space_group_name_H-M_alt 'P 1'
_space_group_IT_number 1
loop_
_space_group_symop_operation_xyz
'x,y,z'
loop_
_atom_site_label
_atom_site_fract_x
_atom_site_fract_y
_atom_site_fract_z
Co1 0.000 0.000 0.000
Tc1 0.500 0.500 0.500
Sb1 0.000 0.000 0.500
I1 0.000 0.500 0.000
I2 0.500 0.000 0.000
# Symmetry ... P4/mmm, No. 123
# Total moment ... 0.8343 μB per atom

***

Run Q
# CoTcSbI2 (PBE, relaxed)
data_CoTcSbI2
_cell_length_a 5.522
_cell_length_b 5.522
_cell_length_c 5.050
_cell_angle_alpha 90.00
_cell_angle_beta 90.00
_cell_angle_gamma 90.00
_space_group_name_H-M_alt 'P 1'
_space_group_IT_number 1
loop_
_space_group_symop_operation_xyz
'x,y,z'
loop_
_atom_site_label
_atom_site_fract_x
_atom_site_fract_y
_atom_site_fract_z
Co1 0.000 0.000 0.000
Tc1 0.500 0.500 0.500
Sb1 0.500 0.500 0.000
I1 0.000 0.500 0.500
I2 0.500 0.000 0.500
# Symmetry ... P4/mmm, No. 123
# Total moment ... 0.5398 μB per atom

***

It is run P that is the most stable of them.